Computed, not measured: an optimized crystal structure of Sc2MoSe at the PBE level of DFT.

Cell lengths 3.437, 3.454, 6.296 Å; angles 90.00, 90.00, 90.00 degrees
Space group Pmmm (No. 47)
Asymmetric unit:
Sc  0.000  0.000  0.245
Mo  0.500  0.500  0.000
Se  0.500  0.500  0.500

The value obtained for the offset from the most stable computed form is 0.000 eV per atom.

=====

Computed, not measured: an optimized crystal structure of Sc2MoSe at the PBE level of DFT.

Cell lengths 8.812, 3.486, 5.044 Å; angles 90.00, 105.89, 90.00 degrees
Space group C2/m (No. 12)
Asymmetric unit:
Sc  0.238  0.000  0.240
Mo  0.000  0.000  0.500
Se  0.000  0.500  0.000

The value obtained for the offset from the most stable computed form is 0.314 eV per atom.

=====

Computed, not measured: an optimized crystal structure of ScMoSe4 at the PBE level of DFT.

Cell lengths 7.967, 7.967, 7.967 Å; angles 90.00, 90.00, 90.00 degrees
Space group F-43m (No. 216)
Asymmetric unit:
Sc  0.000  0.000  0.000
Mo  0.250  0.250  0.250
Se  0.124  0.124  0.624

=====

Computed, not measured: an optimized crystal structure of ScMoSe3 at the PBE level of DFT.

Cell lengths 5.094, 5.094, 5.094 Å; angles 90.00, 90.00, 90.00 degrees
Space group Pm-3m (No. 221)
Asymmetric unit:
Sc  0.000  0.000  0.000
Mo  0.500  0.500  0.500
Se  0.000  0.000  0.500

The value obtained for the offset from the most stable computed form is 0.266 eV per atom.

=====

Computed, not measured: an optimized crystal structure of Sc2MoSe at the PBE level of DFT.

Cell lengths 3.337, 4.381, 10.888 Å; angles 90.00, 90.00, 90.00 degrees
Space group Imm2 (No. 44)
Asymmetric unit:
Sc  0.000  0.000  0.000
Sc  0.000  0.500  0.233
Mo  0.000  0.500  0.734
Se  0.000  0.000  0.417

The value obtained for the offset from the most stable computed form is 0.200 eV per atom.

=====

Computed, not measured: an optimized crystal structure of Sc2MoSe at the PBE level of DFT.

Cell lengths 6.639, 6.639, 6.639 Å; angles 90.00, 90.00, 90.00 degrees
Space group Fm-3m (No. 225)
Asymmetric unit:
Sc  0.250  0.250  0.250
Mo  0.000  0.000  0.000
Se  0.000  0.000  0.500

The value obtained for the offset from the most stable computed form is 0.372 eV per atom.

=====

Computed, not measured: an optimized crystal structure of Sc2MoSe at the PBE level of DFT.

Cell lengths 3.4378, 3.4378, 23.3113 Å; angles 90.00, 90.00, 120.00 degrees
Space group R-3m (No. 166, hexagonal axes)
Asymmetric unit:
Sc  0.0000  0.0000  0.2469
Mo  0.0000  0.0000  0.0000
Se  0.0000  0.0000  0.5000

The value obtained for the offset from the most stable computed form is 0.096 eV per atom.

=====

Computed, not measured: an optimized crystal structure of Sc2MoSe at the PBE level of DFT.

Cell lengths 6.535, 6.557, 3.437 Å; angles 90.00, 90.00, 90.00 degrees
Space group Cmmm (No. 65)
Asymmetric unit:
Sc  0.250  0.250  0.000
Mo  0.000  0.000  0.500
Se  0.000  0.500  0.500

The value obtained for the offset from the most stable computed form is 0.138 eV per atom.

=====

Computed, not measured: an optimized crystal structure of Sc2MoSe at the PBE level of DFT.

Cell lengths 3.811, 5.183, 7.856 Å; angles 90.00, 90.00, 90.00 degrees
Space group Cmmm (No. 65)
Asymmetric unit:
Sc  0.000  0.000  0.245
Mo  0.000  0.500  0.500
Se  0.000  0.500  0.000

The value obtained for the offset from the most stable computed form is 0.087 eV per atom.

=====

Computed, not measured: an optimized crystal structure of ScSiMo2Se at the PBE level of DFT.

Cell lengths 4.614, 4.614, 4.809 Å; angles 90.00, 90.00, 90.00 degrees
Space group P4/mmm (No. 123)
Asymmetric unit:
Sc  0.000  0.000  0.000
Si  0.500  0.500  0.000
Mo  0.000  0.500  0.500
Se  0.000  0.000  0.500

=====

Computed, not measured: an optimized crystal structure of SrSc2MoSe at the PBE level of DFT.

Cell lengths 5.176, 5.176, 4.800 Å; angles 90.00, 90.00, 90.00 degrees
Space group P4/mmm (No. 123)
Asymmetric unit:
Sr  0.000  0.000  0.000
Sc  0.000  0.500  0.500
Mo  0.500  0.500  0.000
Se  0.500  0.500  0.500

=====

Computed, not measured: an optimized crystal structure of ScTlMoSe2 at the PBE level of DFT.

Cell lengths 5.367, 5.367, 5.241 Å; angles 90.00, 90.00, 90.00 degrees
Space group P4/mmm (No. 123)
Asymmetric unit:
Sc  0.000  0.000  0.000
Tl  0.500  0.500  0.500
Mo  0.500  0.500  0.000
Se  0.000  0.500  0.500

=====

Computed, not measured: an optimized crystal structure of Sc2SiMo at the PBE level of DFT.

Cell lengths 3.436, 3.436, 6.045 Å; angles 90.00, 90.00, 90.00 degrees
Space group P4/mmm (No. 123)
Asymmetric unit:
Sc  0.000  0.000  0.249
Si  0.500  0.500  0.000
Mo  0.500  0.500  0.500

=====

Computed, not measured: an optimized crystal structure of Sc2SiMo at the PBE level of DFT.

Cell lengths 6.512, 6.512, 6.512 Å; angles 90.00, 90.00, 90.00 degrees
Space group F-43m (No. 216)
Asymmetric unit:
Sc  0.000  0.000  0.000
Sc  0.250  0.250  0.250
Si  0.000  0.000  0.500
Mo  0.250  0.250  0.750

=====

Computed, not measured: an optimized crystal structure of Sc2SiMo at the PBE level of DFT.

Cell lengths 4.089, 3.637, 10.375 Å; angles 90.00, 90.00, 90.00 degrees
Space group Amm2 (No. 38)
Asymmetric unit:
Sc  0.000  0.000  0.000
Sc  0.500  0.000  0.297
Si  0.500  0.000  0.580
Mo  0.000  0.000  0.713

=====

Computed, not measured: an optimized crystal structure of ScSiMo3 at the PBE level of DFT.

Cell lengths 4.592, 4.592, 4.592 Å; angles 90.00, 90.00, 90.00 degrees
Space group Pm-3m (No. 221)
Asymmetric unit:
Sc  0.000  0.000  0.000
Si  0.500  0.500  0.500
Mo  0.000  0.000  0.500

The value obtained for the offset from the most stable computed form is 1.395 eV per atom.

=====

Computed, not measured: an optimized crystal structure of ScSi4Mo at the PBE level of DFT.

Cell lengths 7.002, 7.002, 7.002 Å; angles 90.00, 90.00, 90.00 degrees
Space group F-43m (No. 216)
Asymmetric unit:
Sc  0.000  0.000  0.000
Si  0.125  0.125  0.375
Mo  0.250  0.250  0.750

=====

Computed, not measured: an optimized crystal structure of Sc2Si2Mo at the PBE level of DFT.

Cell lengths 6.700, 6.700, 3.830 Å; angles 90.00, 90.00, 90.00 degrees
Space group P4/mbm (No. 127)
Asymmetric unit:
Sc  0.177  0.323  0.000
Si  0.128  0.628  0.500
Mo  0.000  0.000  0.500

=====

Computed, not measured: an optimized crystal structure of ScSi2Mo2 at the PBE level of DFT.

Cell lengths 6.849, 6.849, 3.292 Å; angles 90.00, 90.00, 90.00 degrees
Space group P4/mbm (No. 127)
Asymmetric unit:
Sc  0.000  0.000  0.000
Si  0.130  0.370  0.000
Mo  0.160  0.660  0.500

The value obtained for the offset from the most stable computed form is 0.000 eV per atom.

=====

Computed, not measured: an optimized crystal structure of Sc2SiMo at the PBE level of DFT.

Cell lengths 3.361, 3.361, 6.591 Å; angles 90.00, 90.00, 90.00 degrees
Space group P4mm (No. 99)
Asymmetric unit:
Sc  0.000  0.000  0.000
Sc  0.500  0.500  0.332
Si  0.000  0.000  0.575
Mo  0.500  0.500  0.734

=====

Uncorrected energy for every record listed, in sequence, given in eV per cell: -29.2, -55.9, -107.4, -26.7, -56.8, -110.8, -86.4, -57.3, -57.7, -33.1, -28.3, -20.9, -29.9, -117.7, -59.9, -34.0, -154.1, -75.4, -82.7, -30.0.